# 1
First-principles (PBE) data for a geometry-optimized Mg14NbW structure, as listed in the Alexandria database.

Calculated values
The excess energy over the best structure of this formula in the dataset comes out at 0.000 kcal/mol of atoms. Its formation energy is 167 meV/atom.

Geometry as CIF:
```
data_Mg14NbW
_symmetry_space_group_name_H-M 'A m m 2'
_symmetry_Int_Tables_number 38
_cell_length_a 10.0984
_cell_length_b 6.0613
_cell_length_c 11.0104
_cell_angle_alpha 90.00
_cell_angle_beta 90.00
_cell_angle_gamma 90.00
loop_
_symmetry_equiv_pos_as_xyz
'x,y,z'
'-x,-y,z'
'-x,y,z'
'x,-y,z'
'x,y+1/2,z+1/2'
'-x,-y+1/2,z+1/2'
'-x,y+1/2,z+1/2'
'x,-y+1/2,z+1/2'
loop_
_atom_site_label
_atom_site_fract_x
_atom_site_fract_y
_atom_site_fract_z
_atom_site_occupancy
Mg1 0.0000 0.0000 0.0000 1
Mg2 0.0000 0.0000 0.4987 1
Mg3 0.0000 0.2492 0.2508 1
Mg4 0.2536 0.0000 0.6575 1
Mg5 0.2625 0.0000 0.1558 1
Mg6 0.2636 0.2478 0.9175 1
Mg7 0.5000 0.2480 0.7537 1
Nb1 0.5000 0.0000 0.5054 1
W1 0.5000 0.0000 0.0043 1
```

# 2
First-principles (PBE) data for a geometry-optimized MgNbW3 structure, as listed in the Alexandria database.

Calculated values
The excess energy over the best structure of this formula in the dataset comes out at 5.107 kcal/mol of atoms. Its formation energy is 2281 meV/atom.

Geometry as CIF:
```
data_MgNbW3
_symmetry_space_group_name_H-M 'P m -3 m'
_symmetry_Int_Tables_number 221
_symmetry_space_group_name_Hall '-P 4 2 3'
_cell_length_a 4.5508
_cell_length_b 4.5508
_cell_length_c 4.5508
_cell_angle_alpha 90.00
_cell_angle_beta 90.00
_cell_angle_gamma 90.00
loop_
_atom_site_label
_atom_site_fract_x
_atom_site_fract_y
_atom_site_fract_z
_atom_site_occupancy
Mg1 0.0000 0.0000 0.0000 1
Nb1 0.5000 0.5000 0.5000 1
W1 0.0000 0.0000 0.5000 1
```

# 3
First-principles (PBE) data for a geometry-optimized YMg2NbW structure, as listed in the Alexandria database.

Calculated values
Its formation energy is 1560 meV/atom.

Geometry as CIF:
```
data_YMg2NbW
_symmetry_space_group_name_H-M 'P 4/m m m'
_symmetry_Int_Tables_number 123
_symmetry_space_group_name_Hall '-P 4 2'
_cell_length_a 5.1007
_cell_length_b 5.1007
_cell_length_c 5.0306
_cell_angle_alpha 90.00
_cell_angle_beta 90.00
_cell_angle_gamma 90.00
loop_
_atom_site_label
_atom_site_fract_x
_atom_site_fract_y
_atom_site_fract_z
_atom_site_occupancy
Y1 0.0000 0.0000 0.0000 1
Mg1 0.0000 0.5000 0.5000 1
Nb1 0.5000 0.5000 0.0000 1
W1 0.0000 0.0000 0.5000 1
```

# 4
First-principles (PBE) data for a geometry-optimized YMgNb3 structure, as listed in the Alexandria database.

Calculated values
The excess energy over the best structure of this formula in the dataset comes out at 10.463 kcal/mol of atoms. Its formation energy is 1835 meV/atom.

Geometry as CIF:
```
data_YMgNb3
_symmetry_space_group_name_H-M 'P m -3 m'
_symmetry_Int_Tables_number 221
_symmetry_space_group_name_Hall '-P 4 2 3'
_cell_length_a 4.9932
_cell_length_b 4.9932
_cell_length_c 4.9932
_cell_angle_alpha 90.00
_cell_angle_beta 90.00
_cell_angle_gamma 90.00
loop_
_atom_site_label
_atom_site_fract_x
_atom_site_fract_y
_atom_site_fract_z
_atom_site_occupancy
Y1 0.0000 0.0000 0.0000 1
Mg1 0.5000 0.5000 0.5000 1
Nb1 0.0000 0.0000 0.5000 1
```

no.,density (Mg/m³),VASP energy (eV per atom)
1,3.041,-2.667
2,11.783,-7.824
3,5.256,-4.976
4,5.228,-5.819